1.
10
Lattice="-3.891 -0.659 1.286 1.055 -3.819 1.236 2.353 3.540 8.934" Properties=species:S:1:pos:R:3 comment="Th2BeSi3Rh4 (PBE, optimized geometry)" e_tot_ev_per_atom=-7.4179 dos_ef_per_ev_cell=6.5 m_tot_mub_per_fu=0.00 spacegroup="No. 115" pbc="T T T"
Rh 1.414 -0.576 3.984
Th 2.271 0.713 7.236
Be -0.241 -0.469 5.728
Rh -0.479 1.877 6.211
Si 0.838 -1.443 1.796
Rh -1.418 -2.239 1.261
Rh 0.000 0.000 0.000
Si 0.097 2.744 8.398
Si 1.177 1.770 4.467
Th -1.336 0.588 2.958

2.
5
Lattice="-2.084 -4.164 -0.285 1.338 -0.931 3.810 -3.892 1.824 1.813" Properties=species:S:1:pos:R:3 comment="Ti2BeSiRh (PBE, optimized geometry)" e_tot_ev_per_atom=-6.0831 dos_ef_per_ev_cell=5.5 m_tot_mub_per_fu=0.00 spacegroup="No. 123" pbc="T T T"
Be 0.669 -0.465 1.905
Si -2.319 -1.635 2.669
Ti -1.042 -2.082 -0.142
Ti -1.946 0.912 0.906
Rh 0.000 0.000 0.000

3.
6
Lattice="-1.991 -2.757 -2.398 0.836 -3.002 2.757 -4.650 1.095 2.602" Properties=species:S:1:pos:R:3 comment="TmBeSi2Rh2 (PBE, optimized geometry)" e_tot_ev_per_atom=-5.8827 dos_ef_per_ev_cell=2.3 m_tot_mub_per_fu=0.00 spacegroup="No. 123" pbc="T T T"
Si 0.418 -1.501 1.379
Si -0.995 -1.378 -1.199
Rh -4.043 -2.064 2.119
Tm -2.325 0.547 1.301
Be 0.000 0.000 0.000
Rh -1.762 -2.601 0.842

4.
5
Lattice="3.853 0.000 0.000 0.000 3.853 0.000 -1.927 -1.927 5.135" Properties=species:S:1:pos:R:3 comment="TmBeSi2Rh (PBE, optimized geometry)" e_tot_ev_per_atom=-6.0583 dos_ef_per_ev_cell=1.7 m_tot_mub_per_fu=0.00 spacegroup="No. 119" pbc="T T T"
Si 0.000 0.000 3.954
Tm 0.000 0.000 0.000
Si 1.927 1.927 1.181
Rh 1.927 0.000 2.567
Be 0.000 1.927 2.567

5.
5
Lattice="3.865 0.000 0.000 0.000 3.803 0.000 -1.933 -1.902 4.899" Properties=species:S:1:pos:R:3 comment="TmBe2SiRh (PBE, optimized geometry)" e_tot_ev_per_atom=-5.5057 dos_ef_per_ev_cell=2.2 m_tot_mub_per_fu=0.00 spacegroup="No. 44" pbc="T T T"
Be 0.000 0.000 0.609
Si 1.933 1.902 3.207
Be 1.933 0.000 1.870
Rh 0.000 1.902 1.840
Tm 0.000 0.000 4.350

6.
10
Lattice="-2.612 -2.723 -0.025 1.712 -1.669 2.919 -5.522 5.241 6.236" Properties=species:S:1:pos:R:3 comment="Tm2Be4Si3Rh (PBE, optimized geometry)" e_tot_ev_per_atom=-5.2842 dos_ef_per_ev_cell=4.1 m_tot_mub_per_fu=0.00 spacegroup="No. 115" pbc="T T T"
Tm -2.670 -0.067 1.528
Rh -3.211 0.424 4.565
Si -6.086 3.175 5.385
Be -0.450 -2.196 1.447
Be 0.000 0.000 0.000
Si 0.114 -0.130 2.297
Tm -3.302 3.112 6.155
Si -2.761 2.621 3.118
Be -1.152 1.071 3.727
Be -4.820 1.974 3.956

7.
10
Lattice="-0.670 -0.134 -3.792 3.682 -0.957 -0.616 -2.275 -9.225 0.728" Properties=species:S:1:pos:R:3 comment="U2Be4Si3Rh (PBE, optimized geometry)" e_tot_ev_per_atom=-6.4126 dos_ef_per_ev_cell=14.7 m_tot_mub_per_fu=4.45 spacegroup="No. 115" pbc="T T T"
Be -1.776 -5.911 -1.435
Si -1.138 -4.612 0.364
U -0.897 -2.348 -1.716
Rh 0.368 -5.158 -1.840
Si -2.309 -8.072 -1.265
Be 1.506 -0.545 -2.204
Si 1.540 -1.698 -0.212
Be 0.000 0.000 0.000
Be 1.007 -3.859 -0.041
U 0.128 -7.423 0.240

8.
10
Lattice="-1.489 -2.844 -2.462 -1.960 -1.673 3.119 -7.859 5.728 -1.865" Properties=species:S:1:pos:R:3 comment="U2BeSi4Rh3 (PBE, optimized geometry)" e_tot_ev_per_atom=-7.6145 dos_ef_per_ev_cell=16.1 m_tot_mub_per_fu=3.53 spacegroup="No. 115" pbc="T T T"
Be -5.654 0.605 -0.604
Si -5.704 2.192 -2.407
Si -3.880 1.277 0.871
U -2.729 0.024 -1.702
Si 0.000 0.000 0.000
Rh -2.001 -0.093 1.317
U -6.855 3.445 0.166
Si -1.724 -2.259 0.329
Rh -3.930 2.864 -0.932
Rh -7.583 3.562 -2.853

9.
5
Lattice="-0.104 -0.720 3.832 -3.658 -1.311 -0.346 3.638 -3.668 -2.576" Properties=species:S:1:pos:R:3 comment="UBeSi2Rh (PBE, optimized geometry)" e_tot_ev_per_atom=-7.1773 dos_ef_per_ev_cell=6.1 m_tot_mub_per_fu=2.04 spacegroup="No. 119" pbc="T T T"
Rh 0.826 -2.702 1.500
Be -0.950 -2.997 -0.589
Si 1.350 -3.600 -0.640
Si -1.474 -2.099 1.550
U 0.000 0.000 0.000

10.
10
Lattice="-0.031 -2.917 2.606 3.299 -1.420 -1.550 5.146 5.353 6.052" Properties=species:S:1:pos:R:3 comment="U2Be3Si4Rh (PBE, optimized geometry)" e_tot_ev_per_atom=-6.6342 dos_ef_per_ev_cell=15.2 m_tot_mub_per_fu=4.05 spacegroup="No. 115" pbc="T T T"
Be 2.302 -0.031 -0.008
Si 3.295 1.985 5.196
Si 1.634 -2.168 0.528
Si 0.000 0.000 0.000
U 1.224 -0.169 2.760
Be 2.573 2.677 3.026
U 5.557 3.355 3.820
Si 3.485 1.200 1.384
Be 4.478 3.216 6.588
Rh 4.207 0.509 3.554

11.
4
Lattice="-0.635 0.405 -4.022 -3.345 -1.615 -1.717 -2.984 2.446 -1.364" Properties=species:S:1:pos:R:3 comment="BeVSiRh (PBE, optimized geometry)" e_tot_ev_per_atom=-6.8717 dos_ef_per_ev_cell=1.6 m_tot_mub_per_fu=2.49 spacegroup="No. 216" pbc="T T T"
Si -1.741 0.309 -1.776
V 0.000 0.000 0.000
Be -5.222 0.927 -5.328
Rh -3.482 0.618 -3.552

12.
10
Lattice="-0.607 -5.694 -2.277 4.110 1.319 -4.398 4.975 -3.573 -0.749" Properties=species:S:1:pos:R:3 comment="Y2BeSiRh6 (PBE, optimized geometry)" e_tot_ev_per_atom=-7.2576 dos_ef_per_ev_cell=9.0 m_tot_mub_per_fu=0.00 spacegroup="No. 71" pbc="T T T"
Rh 5.163 -5.088 -5.341
Y 3.059 -5.728 -3.181
Si 0.000 0.000 0.000
Rh 3.315 -2.860 -2.082
Rh 5.583 -7.460 -3.572
Rh 5.877 -4.699 -2.469
Y 5.419 -2.220 -4.242
Be 1.751 -2.187 -3.337
Rh 2.895 -0.488 -3.852
Rh 2.601 -3.248 -4.955